A relaxed BiAsF crystal. Source: Alexandria, functional PBE-GGA.

Calculated values
Calculated volume (Å³/atom): 24.416
Uncorrected formation energy (eV per atom): -0.99

Cell: 7.895 5.313 7.794 Å, 90.00 116.35 90.00°
Space group P2_1/c (No. 14)
Symmetry-distinct sites (fractional):
Bi  0.230  0.020  0.244 (multiplicity 4)
As  0.445  0.681  0.558 (multiplicity 4)
F  0.099  0.237  0.433 (multiplicity 4)